Here is a crystal of BaCaSbF7 relaxed with PBEsol from Alexandria. Energies are from meta-GGA SCAN.

Cell lengths 5.7807, 11.3249, 9.4268 Å; angles 90.00, 95.40, 90.00 degrees
Last column: nearest neighbours and their distance in Å.
Space group P2_1/c (No. 14)
Symmetry-distinct sites (fractional):
Ba1 0.2451 0.1498 0.0359 x4  8 F 2.64-2.88
Ca1 0.2067 0.5410 0.1715 x4  7 F 2.24-2.38
Sb1 0.2875 0.6666 0.7730 x4  5 F 2.07-2.24
F1 0.0054 0.5155 0.6535 x4  1 Ca 2.24
F2 0.0087 0.2158 0.3075 x4  1 Sb 2.24, 1 Ca 2.36
F3 0.1061 0.5771 0.9319 x4  1 Sb 2.16, 2 Ca 2.31-2.38
F4 0.2721 0.7070 0.4300 x4  1 Sb 2.07
F5 0.3997 0.1255 0.5943 x4  1 Sb 2.15, 1 Ca 2.34
F6 0.4701 0.0265 0.8506 x4  1 Ca 2.30, 1 Sb 2.48
F7 0.4907 0.6887 0.2004 x4  1 Sb 2.16, 1 Ca 2.34

Calculated values
Volume ... 614.4 Å³ per cell
Energy relative to the elements, uncorrected ... -34.4 eV per formula unit

Here is a crystal of Cr2Co relaxed with PBEsol from Alexandria. Energies are from meta-GGA SCAN.

Cell lengths 6.4290, 6.4290, 6.4290 Å; angles 90.00, 90.00, 90.00 degrees
Last column: nearest neighbours and their distance in Å.
Space group Fd-3m (No. 227, origin choice 2)
Symmetry-distinct sites (fractional):
Cr1 0.0000 0.0000 0.0000 x16  6 Cr 2.27
Co1 0.1250 0.1250 0.6250 x8  12 Cr 2.67, 4 Co 2.78

Calculated values
Energy of formation ... 0.386 eV/atom
Volume ... 265.7 Å³ per cell

Here is a crystal of Ho6Co2Sn relaxed with PBEsol from Alexandria. Energies are from meta-GGA SCAN.

Cell lengths 9.1782, 9.4282, 9.7354 Å; angles 90.00, 90.00, 90.00 degrees
Last column: nearest neighbours and their distance in Å.
Space group Immm (No. 71)
Symmetry-distinct sites (fractional):
Ho1 0.0000 0.2080 0.2367 x8  1 Co 2.63
Ho2 0.1872 0.5000 0.1758 x8  3 Co 2.68-2.84
Ho3 0.2155 0.3160 0.5000 x8  3 Co 2.85-3.01, 1 Sn 3.14
Co1 0.0000 0.3423 0.0000 x4  6 Ho 2.63-2.84
Co2 0.0000 0.5000 0.3864 x4  1 Co 2.21
Sn1 0.0000 0.0000 0.0000 x2  8 Ho 3.03-3.14, 2 Co 3.23
Sn2 0.0000 0.0000 0.5000 x2  12 Ho 3.23-3.58

Calculated values
Energy of formation ... -0.339 eV/atom
Volume ... 842.4 Å³ per cell

Here is a crystal of HfFeO2 relaxed with PBEsol from Alexandria. Energies are from meta-GGA SCAN.

Cell lengths 4.0184, 4.0184, 11.6572 Å; angles 90.00, 90.00, 90.00 degrees
Last column: nearest neighbours and their distance in Å.
Space group I-42d (No. 122)
Symmetry-distinct sites (fractional):
Hf1 0.0000 0.0000 0.0000 x4  4 O 2.05
Fe1 0.0000 0.0000 0.5000 x4  4 O 2.02
O1 0.2424 0.2500 0.6250 x8  2 Fe 2.02, 2 Hf 2.05

Calculated values
Volume ... 188.2 Å³ per cell
Energy relative to the elements, uncorrected ... -7.6 eV per formula unit